Record 1
A plane-wave DFT calculation with GGA-PBE was carried out for a relaxed Y2CrCdC crystal.

a = 5.067 Å, b = 5.067 Å, c = 3.925 Å
α = 90.00°, β = 90.00°, γ = 90.00°
Each line ends with the local moment (μB).
Positions (direct):
C  0.000  0.000  0.000  -0.14
Y  0.500  0.000  0.000  -0.04
Y  0.000  0.500  0.000  -0.04
Cr  0.000  0.000  0.500  2.45
Cd  0.500  0.500  0.500  -0.04

Properties
theoretical density = 5.8 g/cm3
total energy = -33.96 eV/cell
magnetization = 2.31 μB/f.u.
energy of formation = -5.851 kcal/mol of atoms



Record 2
A plane-wave DFT calculation with GGA-PBE was carried out for a relaxed LaSe3F crystal.

a = 5.905 Å, b = 5.905 Å, c = 5.905 Å
α = 90.00°, β = 90.00°, γ = 90.00°
Each line ends with the local moment (μB).
Positions (direct):
Se  0.000  0.500  0.000  0.68
Se  0.500  0.000  0.000  0.59
Se  0.000  0.000  0.500  0.82
La  0.000  0.000  0.000  -0.01
F  0.500  0.500  0.500  0.45

Properties
theoretical density = 3.2 g/cm3
total energy = -18.58 eV/cell
uncorrected formation energy = -0.265 eV/atom
magnetization = 4.00 μB/f.u.